# 1
8
Lattice="-1.630 -2.477 -2.307 -0.384 -2.409 2.857 -9.568 1.313 2.292" Properties=species:S:1:pos:R:3 comment="Mo2PAu (GGA-PBE, relaxed)" n_ef_per_ev_atom=0.573 crystal_system=tetragonal pbc="T T T"
P -1.007 -2.443 0.275
P -5.480 -1.769 2.712
Mo -3.394 -1.422 -0.420
Mo -2.901 -1.586 1.978
Mo -7.947 -0.943 2.039
Mo -8.923 -3.194 2.086
Au 0.000 0.000 0.000
Au -6.103 -1.803 0.130

***

# 2
8
Lattice="-7.558 -0.235 4.542 -3.543 -5.219 -6.165 -4.532 -5.267 0.753" Properties=species:S:1:pos:R:3 comment="Na2SnPb (GGA-PBE, relaxed)" de_polymorph_mev_per_atom=216.5 n_ef_per_ev_atom=0.639 crystal_system=tetragonal pbc="T T T"
Pb 0.000 0.000 0.000
Pb -8.820 -4.114 2.242
Na -6.256 -2.114 2.230
Na -4.336 -4.609 -3.071
Na -7.582 -6.025 -0.080
Na -13.092 -8.692 -0.820
Sn -5.551 -2.727 -0.811
Sn -6.813 -6.606 -3.112

***

# 3
8
Lattice="-7.702 2.163 3.477 -3.343 -7.599 -2.677 -4.663 -4.060 3.138" Properties=species:S:1:pos:R:3 comment="KCd2P (GGA-PBE, relaxed)" n_ef_per_ev_atom=0.182 crystal_system=tetragonal pbc="T T T"
P -5.522 -2.718 0.400
P -6.764 -7.189 0.431
K 0.000 0.000 0.000
K -8.944 -2.308 3.508
Cd -5.628 -0.829 2.276
Cd -4.987 -5.278 -0.106
Cd -7.973 -5.843 2.386
Cd -12.827 -7.042 3.322

***

Number 1: VASP energy -28.43 eV per formula unit, formation energy from the elements 11.1 kcal/mol of atoms. Number 2: VASP energy -10.08 eV per formula unit, formation energy from the elements 1.6 kcal/mol of atoms. Number 3: VASP energy -8.32 eV per formula unit, formation energy from the elements 0.1 kcal/mol of atoms.